Record 1
AlGaReMo | Alexandria via LeMat-Bulk | PBE | optimized geometry; VASP energy = -30.1 eV/cell; energy of formation from the pure elements = -10.2 meV per atom; energy above the lowest structure with this stoichiometry = 196 meV per atom
1.0
0.000 3.103 3.103
3.103 0.000 3.103
3.103 3.103 0.000
Al Ga Re Mo
1 1 1 1
Direct
0.000 0.000 0.000
0.750 0.750 0.750
0.250 0.250 0.250
0.500 0.500 0.500

Record 2
Tb3Er4In | Alexandria via LeMat-Bulk | PBE | optimized geometry; VASP energy = -71.6 eV/cell; energy of formation from the pure elements = -113.8 meV per atom; energy above the lowest structure with this stoichiometry = 0 meV per atom
1.0
11.145 0.000 0.000
0.000 6.986 0.000
0.000 0.000 6.132
Tb Er In
6 8 2
Direct
0.000 0.128 0.000
0.241 0.116 0.341
0.259 0.884 0.841
0.500 0.872 0.500
0.741 0.884 0.841
0.759 0.116 0.341
0.000 0.375 0.534
0.000 0.629 0.011
0.240 0.625 0.359
0.260 0.375 0.859
0.500 0.371 0.511
0.500 0.625 0.034
0.740 0.375 0.859
0.760 0.625 0.359
0.000 0.870 0.519
0.500 0.130 0.019

Record 3
AcDyCu10 | Alexandria via LeMat-Bulk | PBE | optimized geometry; VASP energy = -51.5 eV/cell; energy of formation from the pure elements = -154.3 meV per atom
1.0
4.111 0.000 0.000
0.000 5.183 0.000
0.000 0.000 8.909
Ac Dy Cu
1 1 10
Direct
0.000 0.000 0.000
0.000 0.500 0.500
0.000 0.000 0.343
0.000 0.000 0.657
0.000 0.500 0.178
0.000 0.500 0.822
0.500 0.000 0.500
0.500 0.256 0.260
0.500 0.256 0.740
0.500 0.500 0.000
0.500 0.744 0.260
0.500 0.744 0.740

Record 4
KHgSeO4 | Alexandria via LeMat-Bulk | PBE | optimized geometry; VASP energy = -30.5 eV/cell; raw formation energy = -5.8 eV/f.u.
1.0
-3.110 3.110 4.268
3.110 -3.110 4.268
3.110 3.110 -4.268
K Hg Se O
1 1 1 4
Direct
0.000 0.000 0.000
0.500 0.500 0.000
0.250 0.750 0.500
0.213 0.689 0.181
0.311 0.492 0.523
0.508 0.032 0.819
0.968 0.787 0.477

Record 5
SrCa3 | Alexandria via LeMat-Bulk | PBE | optimized geometry; VASP energy = -7.6 eV/cell; energy of formation from the pure elements = 26.7 meV per atom; energy above the lowest structure with this stoichiometry = 13 meV per atom
1.0
-2.822 2.822 5.640
2.822 -2.822 5.640
2.822 2.822 -5.640
Sr Ca
1 3
Direct
0.000 0.000 0.000
0.250 0.750 0.500
0.500 0.500 0.000
0.750 0.250 0.500

Record 6
Cd8Se | Alexandria via LeMat-Bulk | PBE | optimized geometry; VASP energy = -10.6 eV/cell; raw formation energy = 0.2 eV/f.u.
1.0
-4.827 4.827 2.237
4.827 -4.827 2.237
4.827 4.827 -2.237
Cd Se
8 1
Direct
0.000 0.335 0.335
0.000 0.665 0.665
0.332 0.332 0.663
0.332 0.668 0.000
0.335 0.000 0.335
0.665 0.000 0.665
0.668 0.332 0.000
0.668 0.668 0.337
0.000 0.000 0.000

Record 7
MgBeTe2 | Alexandria via LeMat-Bulk | PBE | optimized geometry; VASP energy = -12.8 eV/cell; energy above the lowest structure with this stoichiometry = 278 meV per atom; raw formation energy = -1.2 eV/f.u.
1.0
3.873 0.000 0.000
0.000 3.873 0.000
0.000 0.000 6.695
Mg Be Te
1 1 2
Direct
0.000 0.000 0.000
0.500 0.500 0.512
0.000 0.000 0.420
0.500 0.500 0.874

Record 8
TaTl2TeRh | Alexandria via LeMat-Bulk | PBE | optimized geometry; VASP energy = -18.5 eV/cell; raw formation energy = 8.6 eV/f.u.
1.0
5.765 0.000 0.000
0.000 5.765 0.000
0.000 0.000 5.133
Ta Tl Te Rh
1 2 1 1
Direct
0.000 0.000 0.000
0.000 0.500 0.500
0.500 0.000 0.500
0.000 0.000 0.500
0.500 0.500 0.000

Copy entry 1 word for word.
AlGaReMo | Alexandria via LeMat-Bulk | PBE | optimized geometry; VASP energy = -30.1 eV/cell; energy of formation from the pure elements = -10.2 meV per atom; energy above the lowest structure with this stoichiometry = 196 meV per atom
1.0
0.000 3.103 3.103
3.103 0.000 3.103
3.103 3.103 0.000
Al Ga Re Mo
1 1 1 1
Direct
0.000 0.000 0.000
0.750 0.750 0.750
0.250 0.250 0.250
0.500 0.500 0.500